# 1
# MgCdRu2 | the Alexandria database | PBE | optimized geometry
data_MgCdRu2
_space_group_name_H-M_alt 'P 1'
_space_group_IT_number 1
_cell_length_a 4.840
_cell_length_b 4.840
_cell_length_c 4.988
_cell_angle_alpha 99.46
_cell_angle_beta 99.46
_cell_angle_gamma 34.35
loop_
_space_group_symop_operation_xyz
'x,y,z'
loop_
_atom_site_label
_atom_site_type_symbol
_atom_site_fract_x
_atom_site_fract_y
_atom_site_fract_z
_atom_site_occupancy
Mg1 Mg 0.000 0.000 0.000 1
Cd1 Cd 0.500 0.500 0.500 1
Ru1 Ru 0.252 0.252 0.778 1
Ru2 Ru 0.748 0.748 0.222 1
# ΔH_f (0 K): 98 kJ/mol of formula units

***

# 2
# MgCd2Ru | the Alexandria database | PBE | optimized geometry
data_MgCd2Ru
_space_group_name_H-M_alt 'P 1'
_space_group_IT_number 1
_cell_length_a 2.988
_cell_length_b 4.120
_cell_length_c 5.984
_cell_angle_alpha 90.00
_cell_angle_beta 90.47
_cell_angle_gamma 90.00
loop_
_space_group_symop_operation_xyz
'x,y,z'
loop_
_atom_site_label
_atom_site_type_symbol
_atom_site_fract_x
_atom_site_fract_y
_atom_site_fract_z
_atom_site_occupancy
Mg1 Mg 0.000 0.000 0.000 1
Cd1 Cd 0.499 0.500 0.274 1
Cd2 Cd 0.998 0.000 0.546 1
Ru1 Ru 0.498 0.500 0.790 1
# ΔH_f (0 K): 47 kJ/mol of formula units

***

# 3
# MgCd2Ru | the Alexandria database | PBE | optimized geometry
data_MgCd2Ru
_space_group_name_H-M_alt 'P 1'
_space_group_IT_number 1
_cell_length_a 5.234
_cell_length_b 5.234
_cell_length_c 5.234
_cell_angle_alpha 134.40
_cell_angle_beta 134.21
_cell_angle_gamma 66.62
loop_
_space_group_symop_operation_xyz
'x,y,z'
loop_
_atom_site_label
_atom_site_type_symbol
_atom_site_fract_x
_atom_site_fract_y
_atom_site_fract_z
_atom_site_occupancy
Mg1 Mg 0.000 0.000 0.000 1
Cd1 Cd 0.250 0.750 0.500 1
Cd2 Cd 0.750 0.250 0.500 1
Ru1 Ru 0.500 0.500 0.000 1
# ΔH_f (0 K): 33 kJ/mol of formula units